Record 1
LaPrHoTm | GGA-PBE | optimized geometry

Cell and atoms, written as POSCAR:
```
LaPrHoTm
1.0
3.791 0.000 0.628
0.000 5.910 0.000
0.992 -2.955 6.211
Pr Ho La Tm
1 1 1 1
Cartesian
3.411 0.000 5.443
1.496 2.955 4.851
1.754 0.000 1.911
3.739 2.955 2.393
```

Properties
D(E_F) (states/eV per cell): 6.772
Raw total energy (eV/atom): -4.59
E_form (eV/atom): 0.096

Record 2
La2PrHoTm2 | GGA-PBE | optimized geometry

Cell and atoms, written as POSCAR:
```
La2PrHoTm2
1.0
-2.848 3.749 -3.109
-5.719 -3.874 0.568
-2.623 5.130 8.590
Pr Ho Tm La
2 2 4 4
Cartesian
-6.219 0.764 1.500
-4.359 4.655 4.488
-6.694 -1.269 4.602
-3.977 0.947 4.786
-5.003 -2.473 1.601
-3.564 3.011 1.776
-4.070 3.234 7.629
-7.082 2.363 4.219
-1.816 1.780 -1.309
-2.370 -0.208 1.920
-6.791 0.909 7.318
-7.168 4.719 7.139
```

Properties
D(E_F) (states/eV per cell): 17.119
Raw total energy (eV/atom): -4.62
E_form (eV/atom): 0.070

Record 3
LaPrHo5Tm2 | GGA-PBE | optimized geometry

Cell and atoms, written as POSCAR:
```
LaPrHo5Tm2
1.0
5.599 0.000 0.000
-2.799 9.806 0.000
0.000 0.000 10.765
Pr Ho Tm La
2 10 4 2
Cartesian
2.799 1.601 10.245
0.000 8.205 4.863
2.799 2.077 5.661
0.000 0.352 0.332
0.000 5.572 3.271
2.799 0.460 2.547
0.000 5.822 7.607
2.799 9.454 5.714
2.799 3.984 2.224
0.000 9.346 7.930
0.000 7.729 0.279
2.799 4.234 8.653
0.000 2.241 3.460
0.000 2.106 7.948
2.799 7.700 2.566
2.799 7.566 8.842
0.000 4.049 0.094
2.799 5.757 5.477
```

Properties
D(E_F) (states/eV per cell): 28.810
Raw total energy (eV/atom): -4.45
E_form (eV/atom): 0.166

Record 4
La4Pr2HoTm | GGA-PBE | optimized geometry

Cell and atoms, written as POSCAR:
```
La4Pr2HoTm
1.0
5.250 0.000 0.000
0.000 5.054 1.276
0.000 2.552 11.226
La Pr Tm Ho
4 2 1 1
Cartesian
5.250 1.896 3.133
2.625 4.427 3.766
2.625 3.178 8.737
0.000 5.710 9.369
0.000 2.552 11.226
2.625 1.276 5.613
0.000 3.803 6.251
2.625 5.079 11.864
```

Properties
D(E_F) (states/eV per cell): 12.217
Raw total energy (eV/atom): -4.77
E_form (eV/atom): 0.015

Record 5
La2Pr2HoTm | GGA-PBE | optimized geometry

Cell and atoms, written as POSCAR:
```
La2Pr2HoTm
1.0
-3.175 2.939 3.808
-0.526 -5.839 4.068
8.323 2.657 4.889
La Ho Pr Tm
4 2 4 2
Cartesian
6.453 -2.239 7.108
1.336 -1.037 1.914
6.463 1.161 8.854
-1.586 1.427 1.938
3.897 -1.634 4.510
4.155 1.284 2.474
3.575 -1.180 8.254
6.810 0.715 5.125
1.039 0.845 4.575
0.981 -3.981 3.890
3.739 1.710 6.160
0.875 -2.040 6.666
```

Properties
D(E_F) (states/eV per cell): 18.180
Raw total energy (eV/atom): -4.69
E_form (eV/atom): 0.055

Record 6
La3PrHo2Tm6 | GGA-PBE | optimized geometry

Cell and atoms, written as POSCAR:
```
La3PrHo2Tm6
1.0
-5.843 -0.174 2.087
3.821 -4.772 1.073
4.064 6.590 8.851
Tm Ho La Pr
6 2 3 1
Cartesian
-0.068 2.022 9.219
2.110 -0.379 2.793
-1.118 1.157 3.132
-0.513 -2.079 4.539
3.160 0.486 8.880
2.555 3.722 7.473
-2.623 -1.706 1.749
0.601 -3.240 1.411
1.021 0.822 6.006
4.244 -0.712 5.668
-2.202 2.355 6.344
0.000 0.000 0.000
```

Properties
D(E_F) (states/eV per cell): 14.864
Raw total energy (eV/atom): -4.60
E_form (eV/atom): 0.024

Record 7
LaPr6HoTm2 | GGA-PBE | optimized geometry

Cell and atoms, written as POSCAR:
```
LaPr6HoTm2
1.0
-7.597 1.661 -5.999
-3.493 -7.533 3.450
-1.150 7.596 4.671
Pr La Tm Ho
12 2 4 2
Cartesian
-3.386 -3.841 0.926
-3.936 -1.374 3.995
-5.895 5.317 -1.402
-1.671 5.064 3.601
-5.238 5.720 2.319
-8.304 3.098 -1.873
-5.004 -0.955 0.866
-8.854 5.566 1.197
-7.002 -3.995 -0.197
-7.236 2.680 1.256
-10.569 -3.339 -1.479
-6.345 -3.592 3.524
-4.000 1.870 2.676
-8.240 -0.145 -0.554
-7.070 0.089 3.388
-10.649 2.341 0.503
-5.170 1.636 -1.266
-1.591 -0.617 1.619
-5.320 -6.652 1.988
-6.920 8.376 0.134
```

Properties
D(E_F) (states/eV per cell): 30.028
Raw total energy (eV/atom): -4.60
E_form (eV/atom): 0.111

Record 8
La5Pr2HoTm | GGA-PBE | optimized geometry

Cell and atoms, written as POSCAR:
```
La5Pr2HoTm
1.0
-0.831 -7.085 -4.760
7.783 -2.593 2.501
-7.100 0.624 8.037
La Ho Pr Tm
10 2 4 2
Cartesian
-0.610 -1.622 6.791
3.476 -4.839 -1.129
-4.545 -0.699 5.289
0.466 -3.753 1.235
4.397 -8.355 0.489
-0.614 -5.301 4.544
4.401 -4.676 2.737
0.461 -7.433 -1.013
-4.549 -4.379 3.042
0.000 0.000 0.000
1.664 -6.947 2.325
-1.812 -2.108 3.454
6.493 -4.919 0.405
2.808 -1.861 0.338
4.143 -7.817 -2.596
0.459 -4.759 -2.664
2.079 -3.404 4.704
-2.228 -5.650 1.074
```

Properties
D(E_F) (states/eV per cell): 28.679
Raw total energy (eV/atom): -4.54
E_form (eV/atom): 0.261

Question: Number 7 is which compound?
Answer: LaPr6HoTm2

Question: What is the formula in the fifth record?
Answer: La2Pr2HoTm